Here is YSiPO2 after structural relaxation from Alexandria via LeMat-Bulk. Energies are from PBE.

- V (Å³/atom) = 13.23
- DOS(E_F) (states/eV per cell) = 0.74
- E_tot (eV/cell) = -35.22

a b c (Å): 3.757 3.757 4.684
angles (deg): 90.00 90.00 90.00
Element x y z (fractional)
Y  0.500  0.500  0.500
P  0.000  0.000  0.500
Si  0.000  0.000  0.000
O  0.000  0.500  0.000
O  0.500  0.000  0.000